A geometry-optimized K3Tm3MoO8 structure, computed with GGA+U.

Properties
* DFT total energy: -6.8593 eV per atom
* total magnetization: 0.133 μB/atom
* symmetry: C2/m (12)

Lattice parameters (Å, degrees): 6.683 6.729 7.382 117.07 90.00 119.77
Site moments in Bohr magnetons follow the coordinates.
Fractional coordinates of all 15 atoms:
K 0.000 0.000 0.000  0.00
K 0.000 0.500 0.000  0.00
K 0.500 0.500 0.000  0.00
Tm 0.500 0.000 0.500  -0.01
Tm 0.500 0.500 0.500  0.01
Tm 0.000 0.500 0.500  0.01
Mo 0.000 0.000 0.500  1.83
O 0.275 0.550 0.321  0.00
O 0.725 0.450 0.679  0.00
O 0.781 0.563 0.326  0.03
O 0.219 0.437 0.674  0.03
O 0.788 0.042 0.329  0.01
O 0.212 0.958 0.671  0.01
O 0.253 0.042 0.329  0.01
O 0.747 0.958 0.671  0.01